LaPmTl6: optimized geometry, PBE-GGA.

Results
As for the theoretical density: 10.96 g/cm3. Its density of states at the Fermi level is 0.3901 states/eV/atom. Its energy of formation is -258 kJ/mol of formula units.

a b c (Å): 4.856 4.856 9.704
angles (deg): 90.00 90.00 90.00
Element x y z (fractional)
La (0.000, 0.000, 0.000)
Pm (0.000, 0.000, 0.500)
Tl (0.000, 0.500, 0.253)
Tl (0.000, 0.500, 0.747)
Tl (0.500, 0.000, 0.253)
Tl (0.500, 0.000, 0.747)
Tl (0.500, 0.500, 0.000)
Tl (0.500, 0.500, 0.500)